1.
First-principles (GGA-PBE) data for crystalline CsTlGe at its relaxed geometry, as listed in Alexandria.

Lattice parameters (Å, degrees): 12.9670 4.7892 9.4599 90.00 127.52 90.00
Last column: nearest neighbours and their distance in Å.
Space group Cm (No. 8)
Symmetry-distinct sites (fractional):
Cs (0.0000, 0.0000, 0.0000) x2  3 Ge 3.73-4.12, 1 Cs 3.94, 5 Tl 3.99-4.06
Cs (0.1236, 0.5000, 0.7628) x2  3 Ge 3.60-3.81, 1 Cs 3.94
Tl (0.2777, 0.5000, 0.3813) x2  3 Ge 2.99-3.11
Tl (0.3776, 0.0000, 0.2184) x2  2 Ge 2.96
Ge (0.0339, 0.0000, 0.4210) x2  1 Ge 2.42
Ge (0.2637, 0.0000, 0.5577) x2  1 Ge 2.42

Energy of formation = -0.002 eV per atom
Density of states at the Fermi level = 0.40 states/eV per atom
Total magnetization = 0.00 Bohr magnetons per cell
E = -7.842 eV/f.u.

2.
First-principles (GGA-PBE) data for crystalline Cs2Tl4Ge at its relaxed geometry, as listed in Alexandria.

Lattice parameters (Å, degrees): 5.7570 5.7570 20.0952 90.00 90.00 90.00
Last column: nearest neighbours and their distance in Å.
Space group I4/mmm (No. 139)
Symmetry-distinct sites (fractional):
Cs (0.0000, 0.0000, 0.1568) x4  9 Tl 4.09-4.27
Tl (0.0000, 0.0000, 0.3606) x4  1 Ge 2.80
Tl (0.0000, 0.5000, 0.0000) x4  2 Ge 2.88
Ge (0.0000, 0.0000, 0.5000) x2  6 Tl 2.80-2.88

Energy of formation = 0.060 eV per atom
Density of states at the Fermi level = 0.72 states/eV per atom
Total magnetization = 0.00 Bohr magnetons per cell
E = -15.369 eV/f.u.